1.
{
  "formula": "Mg2CuHg",
  "functional": "PBE-GGA",
  "state": "optimized geometry",
  "lattice": [[4.667, 0.000, 0.000], [2.334, 4.042, 0.000], [2.334, 1.347, 3.811]],
  "species": ["Mg", "Mg", "Cu", "Hg"],
  "frac_coords": [[0.000, 0.000, 0.000], [0.250, 0.250, 0.250], [0.500, 0.500, 0.500], [0.750, 0.750, 0.750]]
}

=====

2.
{
  "formula": "MgCuHg2",
  "functional": "PBE-GGA",
  "state": "optimized geometry",
  "lattice": [[7.727, 0.000, 0.000], [0.000, 7.727, 0.000], [3.863, 3.863, 2.909]],
  "species": ["Hg", "Hg", "Hg", "Hg", "Cu", "Cu", "Mg", "Mg"],
  "frac_coords": [[0.090, 0.625, 0.250], [0.375, 0.340, 0.750], [0.660, 0.125, 0.250], [0.875, 0.910, 0.750], [0.000, 0.000, 0.000], [0.750, 0.250, 0.500], [0.250, 0.750, 0.500], [0.500, 0.500, 0.000]]
}

=====

3.
{
  "formula": "MgCuHg2",
  "functional": "PBE-GGA",
  "state": "optimized geometry",
  "lattice": [[4.940, -0.193, 0.137], [3.213, 3.757, 0.137], [1.741, 0.761, 4.056]],
  "species": ["Hg", "Hg", "Mg", "Cu"],
  "frac_coords": [[0.997, 0.997, 0.008], [0.503, 0.503, 0.492], [0.750, 0.750, 0.750], [0.250, 0.250, 0.250]]
}

=====

| no. | E_tot (eV per formula unit) | total moment (μB per cell) |
| --- | --- | --- |
| 1 | -7.71 | 0.000 |
| 2 | -5.83 | 0.000 |
| 3 | -6.26 | 0.000 |